Entry 1:
Density functional theory data (PBE) for a geometry-optimized Cd3Ni5 structure.

Geometry as POSCAR:
```
Cd3Ni5
1.0
-7.387 -1.873 -1.851
-1.619 -7.049 -3.031
-0.634 -1.668 4.217
Ni Cd
10 6
direct
0.000 0.181 0.750 Ni
0.667 0.667 0.500 Ni
0.000 0.820 0.250 Ni
0.333 0.333 0.000 Ni
0.333 0.333 0.500 Ni
0.820 0.000 0.750 Ni
0.180 0.820 0.750 Ni
0.667 0.667 0.000 Ni
0.180 0.000 0.250 Ni
0.820 0.181 0.250 Ni
0.614 0.386 0.750 Cd
0.000 0.614 0.750 Cd
0.000 0.386 0.250 Cd
0.614 0.000 0.250 Cd
0.386 0.000 0.750 Cd
0.386 0.614 0.250 Cd
```

Values from the calculation:
The value obtained for the total magnetization is 2.82 Bohr magnetons per cell. The total energy is -58.85 eV per cell. As for the energy above the lowest structure with this stoichiometry: 0.148 eV/atom.

Entry 2:
Density functional theory data (PBE) for a geometry-optimized Cd5Ni structure.

Geometry as POSCAR:
```
Cd5Ni
1.0
-1.901 4.055 2.868
-2.211 -1.212 -4.682
-3.034 -2.981 2.205
Cd Ni
5 1
direct
0.000 0.333 0.500 Cd
0.333 0.000 0.500 Cd
0.983 0.983 0.000 Cd
0.351 0.667 0.000 Cd
0.667 0.351 0.000 Cd
0.667 0.667 0.500 Ni
```

Values from the calculation:
The value obtained for the total magnetization is 0.00 Bohr magnetons per cell. The total energy is -9.99 eV per cell. As for the energy above the lowest structure with this stoichiometry: 0.047 eV/atom.

Entry 3:
Density functional theory data (PBE) for a geometry-optimized Cd3Ni2 structure.

Geometry as POSCAR:
```
Cd3Ni2
1.0
-1.131 -3.885 -1.779
2.643 2.762 -2.220
4.265 -2.273 2.250
Cd Ni
3 2
direct
0.333 0.667 0.360 Cd
0.667 0.333 0.640 Cd
0.000 0.000 0.000 Cd
0.667 0.333 0.132 Ni
0.333 0.667 0.868 Ni
```

Values from the calculation:
The value obtained for the total magnetization is 0.00 Bohr magnetons per cell. The total energy is -13.99 eV per cell. As for the energy above the lowest structure with this stoichiometry: 0.000 eV/atom.

Entry 4:
Density functional theory data (PBE) for a geometry-optimized CdNi2 structure.

Geometry as POSCAR:
```
CdNi2
1.0
1.391 -6.733 0.000
1.391 6.733 0.000
0.000 0.000 4.430
Cd Ni
2 4
direct
0.396 0.604 0.250 Cd
0.604 0.396 0.750 Cd
0.932 0.068 0.750 Ni
0.725 0.275 0.250 Ni
0.275 0.725 0.750 Ni
0.068 0.932 0.250 Ni
```

Values from the calculation:
The value obtained for the total magnetization is 0.76 Bohr magnetons per cell. The total energy is -24.03 eV per cell.

Entry 5:
Density functional theory data (PBE) for a geometry-optimized CdNi2 structure.

Geometry as POSCAR:
```
CdNi2
1.0
-2.471 1.429 3.063
-0.980 0.748 -4.001
-1.454 -2.341 -0.081
Cd Ni
1 2
direct
0.000 0.000 0.500 Cd
0.667 0.333 0.000 Ni
0.333 0.667 0.000 Ni
```

Values from the calculation:
The value obtained for the total magnetization is 0.57 Bohr magnetons per cell. The total energy is -12.02 eV per cell.

Entry 6:
Density functional theory data (PBE) for a geometry-optimized Cd5Ni3 structure.

Geometry as POSCAR:
```
Cd5Ni3
1.0
5.414 0.108 -0.104
2.851 7.221 0.017
-2.859 0.014 7.215
Ni Cd
6 10
direct
0.250 0.006 0.007 Ni
0.250 0.162 0.481 Ni
0.750 0.994 0.994 Ni
0.750 0.519 0.839 Ni
0.751 0.838 0.520 Ni
0.251 0.481 0.162 Ni
0.390 0.872 0.703 Cd
0.273 0.289 0.845 Cd
0.773 0.155 0.711 Cd
0.727 0.711 0.156 Cd
0.611 0.128 0.298 Cd
0.111 0.703 0.873 Cd
0.890 0.297 0.128 Cd
0.227 0.845 0.289 Cd
0.250 0.531 0.531 Cd
0.750 0.469 0.469 Cd
```

Values from the calculation:
The value obtained for the total magnetization is 0.00 Bohr magnetons per cell. The total energy is -42.62 eV per cell. As for the energy above the lowest structure with this stoichiometry: 0.000 eV/atom.

- Look up the total magnetization of the fifth one.
  0.57 Bohr magnetons per cell